(1)
The following is a DFT calculation (GGA-PBE) of a relaxed Na4HgGe crystal. Values from VASP.

Output
As for the formation enthalpy at 0 K: -0.06 eV/atom. Its space group is Cmcm.

Quantum ESPRESSO input file:
```
&SYSTEM
  ibrav = 0, nat = 12, ntyp = 3
/
ATOMIC_SPECIES
Hg 200.59 Hg.upf
Na 22.99 Na.upf
Ge 72.64 Ge.upf
CELL_PARAMETERS angstrom
-2.086 0.400 -4.756
-5.487 -2.278 2.216
-5.419 7.121 2.976
ATOMIC_POSITIONS angstrom
Hg -6.360 0.693 -1.430
Hg -6.632 4.551 1.866
Na -6.736 6.752 -0.756
Na -5.789 4.006 -1.401
Na -7.203 1.238 1.836
Na -4.304 2.440 0.669
Na -8.688 2.803 -0.233
Na -6.256 -1.509 1.192
Na -9.534 5.591 0.374
Na -3.459 -0.347 0.062
Ge -3.589 1.745 -2.558
Ge -9.404 3.499 2.993
```

(2)
The following is a DFT calculation (GGA-PBE) of a relaxed Pm5In4Rh crystal. Values from VASP.

Output
As for the formation enthalpy at 0 K: -0.54 eV/atom. Its space group is P4/mmm.

Quantum ESPRESSO input file:
```
&SYSTEM
  ibrav = 0, nat = 10, ntyp = 3
/
ATOMIC_SPECIES
Rh 102.91 Rh.upf
Pm 145.00 Pm.upf
In 114.82 In.upf
CELL_PARAMETERS angstrom
-3.357 -0.427 -1.205
0.395 -3.567 0.165
-7.109 0.129 19.764
ATOMIC_POSITIONS angstrom
Rh 0.000 0.000 0.000
Pm -5.036 -1.932 9.362
Pm -8.017 -1.878 17.649
Pm -3.554 -1.959 5.242
Pm -6.518 -1.906 13.482
Pm -2.055 -1.987 1.075
In -4.295 0.078 11.940
In -1.339 0.024 3.723
In -2.814 0.051 7.824
In -5.770 0.105 16.041
```

(3)
The following is a DFT calculation (GGA-PBE) of a relaxed TbCeTl crystal. Values from VASP.

Output
As for the energy above the lowest structure with this stoichiometry: 0.52 kcal/mol of atoms. As for the formation enthalpy at 0 K: -0.20 eV/atom. Its space group is Cmcm.

Quantum ESPRESSO input file:
```
&SYSTEM
  ibrav = 0, nat = 6, ntyp = 3
/
ATOMIC_SPECIES
Ce 140.12 Ce.upf
Tl 204.38 Tl.upf
Tb 158.93 Tb.upf
CELL_PARAMETERS angstrom
-0.736 2.598 2.255
2.074 -2.884 4.000
8.312 2.283 -2.664
ATOMIC_POSITIONS angstrom
Ce 4.294 2.447 1.326
Ce 5.357 -0.449 2.265
Tl 2.124 0.003 0.689
Tl 7.526 1.995 2.901
Tb 2.253 -0.384 3.921
Tb 7.398 2.382 -0.331
```

(4)
The following is a DFT calculation (GGA-PBE) of a relaxed IrS2ClF crystal. Values from VASP.

Output
As for the energy above the lowest structure with this stoichiometry: 22.21 kcal/mol of atoms. Its space group is P4/mmm. For the uncorrected formation energy, the calculation gives 1268 meV per atom.

Quantum ESPRESSO input file:
```
&SYSTEM
  ibrav = 0, nat = 5, ntyp = 4
/
ATOMIC_SPECIES
S 32.06 S.upf
F 19.00 F.upf
Cl 35.45 Cl.upf
Ir 192.22 Ir.upf
CELL_PARAMETERS angstrom
4.079 0.000 0.000
0.000 4.079 0.000
0.000 0.000 5.403
ATOMIC_POSITIONS angstrom
S 0.000 2.039 0.000
S 2.039 0.000 0.000
F 0.000 0.000 0.000
Cl 0.000 0.000 2.701
Ir 2.039 2.039 2.701
```

(5)
The following is a DFT calculation (GGA-PBE) of a relaxed CePm3Si3 crystal. Values from VASP.

Output
Its space group is R3m. For the uncorrected formation energy, the calculation gives -464 meV per atom.

Quantum ESPRESSO input file:
```
&SYSTEM
  ibrav = 0, nat = 7, ntyp = 3
/
ATOMIC_SPECIES
Ce 140.12 Ce.upf
Pm 145.00 Pm.upf
Si 28.09 Si.upf
CELL_PARAMETERS angstrom
-1.748 -2.176 -5.509
-0.477 -4.472 4.232
-3.622 4.743 1.590
ATOMIC_POSITIONS angstrom
Ce -5.754 -1.875 0.308
Pm -2.406 -0.084 2.569
Pm -2.959 0.916 -1.674
Pm -1.589 -3.098 -0.523
Si -2.066 2.320 0.816
Si -1.119 -1.176 -2.772
Si -0.477 -2.337 2.151
```

(6)
The following is a DFT calculation (GGA-PBE) of a relaxed Ba2SrCa crystal. Values from VASP.

Output
As for the energy above the lowest structure with this stoichiometry: 0.15 kcal/mol of atoms. As for the formation enthalpy at 0 K: 0.03 eV/atom. Its space group is Cm.

Quantum ESPRESSO input file:
```
&SYSTEM
  ibrav = 0, nat = 4, ntyp = 3
/
ATOMIC_SPECIES
Ba 137.33 Ba.upf
Sr 87.62 Sr.upf
Ca 40.08 Ca.upf
CELL_PARAMETERS angstrom
7.931 -0.091 0.837
6.550 4.473 0.837
2.253 0.682 6.408
ATOMIC_POSITIONS angstrom
Ba 4.080 1.234 2.072
Ba 2.285 0.691 6.385
Sr 12.676 3.835 6.023
Ca 8.313 2.515 4.051
```